Record 1
Compound: TlZnAu2
Source: the Alexandria database
Functional: PBE-GGA
Structure: optimized geometry

Results
space-group type = Immm, No. 71
D(E_F) = 2.5 states/eV per cell
spin magnetization = 0.00 μB per atom
formation energy = 36 meV/atom

Unit cell a=3.1559 b=5.3007 c=9.6231 alpha=90.00 beta=90.00 gamma=90.00
Closest atoms and distances in Å follow each position.
Positions (direct):
Tl (0.0000, 0.0000, 0.0000)  4 Zn 3.08, 8 Au 3.14-3.38, 2 Tl 3.16
Tl (0.5000, 0.5000, 0.5000)  4 Zn 3.08, 8 Au 3.14-3.38, 2 Tl 3.16
Zn (0.0000, 0.0000, 0.5000)  4 Au 2.62
Zn (0.5000, 0.5000, 0.0000)  4 Au 2.62
Au (0.0000, 0.5000, 0.2178)  2 Zn 2.62
Au (0.0000, 0.5000, 0.7822)  2 Zn 2.62
Au (0.5000, 0.0000, 0.2822)  2 Zn 2.62
Au (0.5000, 0.0000, 0.7178)  2 Zn 2.62



Record 2
Compound: TlZn2Au
Source: the Alexandria database
Functional: PBE-GGA
Structure: optimized geometry

Results
space-group type = P2/m, No. 10
D(E_F) = 0.8 states/eV per cell
spin magnetization = 0.00 μB per atom
formation energy = 15 meV/atom

Unit cell a=3.3203 b=3.3691 c=7.4296 alpha=90.00 beta=101.55 gamma=90.00
Closest atoms and distances in Å follow each position.
Positions (direct):
Tl (0.0000, 0.0000, 0.0000)  4 Zn 2.97, 2 Tl 3.32
Zn (0.4304, 0.5000, 0.3080)  4 Au 2.71-2.78, 1 Zn 2.80, 2 Tl 2.97
Zn (0.5696, 0.5000, 0.6920)  4 Au 2.71-2.78, 1 Zn 2.80, 2 Tl 2.97
Au (0.0000, 0.0000, 0.5000)  8 Zn 2.71-2.78



Record 3
Compound: TlZnAu2
Source: the Alexandria database
Functional: PBE-GGA
Structure: optimized geometry

Results
space-group type = Fm-3m, No. 225
D(E_F) = 4.3 states/eV per cell
spin magnetization = 0.00 μB per atom
formation energy = 83 meV/atom

Unit cell a=6.8086 b=6.8086 c=6.8086 alpha=90.00 beta=90.00 gamma=90.00
Closest atoms and distances in Å follow each position.
Positions (direct):
Tl (0.0000, 0.0000, 0.0000)  8 Au 2.95
Tl (0.0000, 0.5000, 0.5000)  8 Au 2.95
Tl (0.5000, 0.0000, 0.5000)  8 Au 2.95
Tl (0.5000, 0.5000, 0.0000)  8 Au 2.95
Zn (0.0000, 0.0000, 0.5000)  8 Au 2.95
Zn (0.0000, 0.5000, 0.0000)  8 Au 2.95
Zn (0.5000, 0.0000, 0.0000)  8 Au 2.95
Zn (0.5000, 0.5000, 0.5000)  8 Au 2.95
Au (0.2500, 0.2500, 0.2500)  4 Tl 2.95, 4 Zn 2.95
Au (0.2500, 0.2500, 0.7500)  4 Tl 2.95, 4 Zn 2.95
Au (0.2500, 0.7500, 0.2500)  4 Tl 2.95, 4 Zn 2.95
Au (0.2500, 0.7500, 0.7500)  4 Tl 2.95, 4 Zn 2.95
Au (0.7500, 0.2500, 0.2500)  4 Tl 2.95, 4 Zn 2.95
Au (0.7500, 0.2500, 0.7500)  4 Tl 2.95, 4 Zn 2.95
Au (0.7500, 0.7500, 0.2500)  4 Tl 2.95, 4 Zn 2.95
Au (0.7500, 0.7500, 0.7500)  4 Tl 2.95, 4 Zn 2.95



Record 4
Compound: TlZnAu2
Source: the Alexandria database
Functional: PBE-GGA
Structure: optimized geometry

Results
space-group type = Cm, No. 8
D(E_F) = 3.5 states/eV per cell
spin magnetization = 0.00 μB per atom
formation energy = -6 meV/atom

Unit cell a=8.6775 b=3.8904 c=5.3076 alpha=90.00 beta=104.95 gamma=90.00
Closest atoms and distances in Å follow each position.
Positions (direct):
Tl (0.0000, 0.0000, 0.0000)  5 Au 2.87-3.11, 1 Zn 3.10
Tl (0.5000, 0.5000, 0.0000)  5 Au 2.87-3.11, 1 Zn 3.10
Zn (0.2184, 0.0000, 0.6198)  5 Au 2.62-2.72
Zn (0.7184, 0.5000, 0.6198)  5 Au 2.62-2.72
Au (0.0056, 0.5000, 0.5443)  3 Zn 2.62-2.64, 1 Au 2.89
Au (0.2605, 0.5000, 0.2866)  2 Zn 2.72, 1 Tl 2.87, 3 Au 2.89-2.95
Au (0.5056, 0.0000, 0.5443)  3 Zn 2.62-2.64, 1 Au 2.89
Au (0.7605, 0.0000, 0.2866)  2 Zn 2.72, 1 Tl 2.87, 3 Au 2.89-2.95



Record 5
Compound: TlZn2Au
Source: the Alexandria database
Functional: PBE-GGA
Structure: optimized geometry

Results
space-group type = Imm2, No. 44
D(E_F) = 1.7 states/eV per cell
spin magnetization = 0.00 μB per atom
formation energy = 86 meV/atom

Unit cell a=2.9781 b=4.9855 c=10.6606 alpha=90.00 beta=90.00 gamma=90.00
Closest atoms and distances in Å follow each position.
Positions (direct):
Tl (0.0000, 0.0000, 0.0000)  4 Zn 2.91, 2 Tl 2.98, 2 Au 3.25
Tl (0.5000, 0.5000, 0.5000)  4 Zn 2.91, 2 Tl 2.98, 2 Au 3.25
Zn (0.0000, 0.0000, 0.5154)  2 Au 2.72, 4 Zn 2.81-2.98, 4 Tl 2.91
Zn (0.0000, 0.5000, 0.7918)  4 Zn 2.81-2.98, 4 Au 2.98
Zn (0.5000, 0.0000, 0.2918)  4 Zn 2.81-2.98, 4 Au 2.98
Zn (0.5000, 0.5000, 0.0154)  2 Au 2.72, 4 Zn 2.81-2.98, 4 Tl 2.91
Au (0.0000, 0.5000, 0.2294)  6 Zn 2.72-2.98, 2 Au 2.98
Au (0.5000, 0.0000, 0.7294)  6 Zn 2.72-2.98, 2 Au 2.98



Record 6
Compound: Tl4ZnAu4
Source: the Alexandria database
Functional: PBE-GGA
Structure: optimized geometry

Results
space-group type = I-42m, No. 121
D(E_F) = 3.4 states/eV per cell
spin magnetization = 0.00 μB per atom
formation energy = 15 meV/atom

Unit cell a=7.5975 b=7.5975 c=7.5975 alpha=132.68 beta=132.68 gamma=69.16
Closest atoms and distances in Å follow each position.
Positions (direct):
Tl (0.1392, 0.1392, 0.5588)  6 Au 2.94-3.29, 1 Zn 2.98
Tl (0.4196, 0.8608, 0.0000)  6 Au 2.94-3.29, 1 Zn 2.98
Tl (0.5804, 0.5804, 0.4412)  6 Au 2.94-3.29, 1 Zn 2.98
Tl (0.8608, 0.4196, 0.0000)  6 Au 2.94-3.29, 1 Zn 2.98
Zn (0.0000, 0.0000, 0.0000)  4 Au 2.58
Au (0.1205, 0.6369, 0.0000)  1 Zn 2.58
Au (0.3631, 0.3631, 0.4836)  1 Zn 2.58
Au (0.6369, 0.1205, 0.0000)  1 Zn 2.58
Au (0.8795, 0.8795, 0.5164)  1 Zn 2.58



Record 7
Compound: TlZn2Au
Source: the Alexandria database
Functional: PBE-GGA
Structure: optimized geometry

Results
space-group type = Cmmm, No. 65
D(E_F) = 2.0 states/eV per cell
spin magnetization = 0.00 μB per atom
formation energy = 101 meV/atom

Unit cell a=5.6746 b=7.6252 c=3.6105 alpha=90.00 beta=90.00 gamma=90.00
Closest atoms and distances in Å follow each position.
Positions (direct):
Tl (0.0000, 0.0000, 0.0000)  2 Au 2.84, 8 Zn 2.98
Tl (0.5000, 0.5000, 0.0000)  2 Au 2.84, 8 Zn 2.98
Zn (0.2500, 0.2500, 0.5000)  2 Zn 2.84, 4 Tl 2.98, 4 Au 2.98
Zn (0.2500, 0.7500, 0.5000)  2 Zn 2.84, 4 Tl 2.98, 4 Au 2.98
Zn (0.7500, 0.2500, 0.5000)  2 Zn 2.84, 4 Tl 2.98, 4 Au 2.98
Zn (0.7500, 0.7500, 0.5000)  2 Zn 2.84, 4 Tl 2.98, 4 Au 2.98
Au (0.0000, 0.5000, 0.0000)  2 Tl 2.84, 8 Zn 2.98
Au (0.5000, 0.0000, 0.0000)  2 Tl 2.84, 8 Zn 2.98



Record 8
Compound: TlZn4Au
Source: the Alexandria database
Functional: PBE-GGA
Structure: optimized geometry

Results
space-group type = F-43m, No. 216
D(E_F) = 1.4 states/eV per cell
spin magnetization = 0.00 μB per atom
formation energy = 60 meV/atom

Unit cell a=5.3229 b=5.3229 c=5.3229 alpha=60.00 beta=60.00 gamma=60.00
Closest atoms and distances in Å follow each position.
Positions (direct):
Tl (0.0000, 0.0000, 0.0000)  12 Zn 3.12, 4 Au 3.26
Zn (0.1281, 0.6240, 0.6240)  6 Zn 2.64-2.68
Zn (0.6240, 0.1281, 0.6240)  6 Zn 2.64-2.68
Zn (0.6240, 0.6240, 0.1281)  6 Zn 2.64-2.68
Zn (0.6240, 0.6240, 0.6240)  6 Zn 2.64-2.68
Au (0.2500, 0.2500, 0.2500)  12 Zn 3.12, 4 Tl 3.26



Record 9
Compound: TlZn2Au
Source: the Alexandria database
Functional: PBE-GGA
Structure: optimized geometry

Results
space-group type = Immm, No. 71
D(E_F) = 2.8 states/eV per cell
spin magnetization = 0.00 μB per atom
formation energy = 80 meV/atom

Unit cell a=3.2090 b=5.6336 c=9.1622 alpha=90.00 beta=90.00 gamma=90.00
Closest atoms and distances in Å follow each position.
Positions (direct):
Tl (0.0000, 0.0000, 0.0000)  4 Zn 2.96, 2 Tl 3.21, 4 Au 3.24
Tl (0.5000, 0.5000, 0.5000)  4 Zn 2.96, 2 Tl 3.21, 4 Au 3.24
Zn (0.0000, 0.5000, 0.2282)  2 Au 2.64
Zn (0.0000, 0.5000, 0.7718)  2 Au 2.64
Zn (0.5000, 0.0000, 0.2718)  2 Au 2.64
Zn (0.5000, 0.0000, 0.7282)  2 Au 2.64
Au (0.0000, 0.0000, 0.5000)  4 Zn 2.64
Au (0.5000, 0.5000, 0.0000)  4 Zn 2.64



Record 10
Compound: TlZn2Au
Source: the Alexandria database
Functional: PBE-GGA
Structure: optimized geometry

Results
space-group type = Fm-3m, No. 225
D(E_F) = 4.7 states/eV per cell
spin magnetization = 0.00 μB per atom
formation energy = 109 meV/atom

Unit cell a=6.8102 b=6.8102 c=6.8102 alpha=90.00 beta=90.00 gamma=90.00
Closest atoms and distances in Å follow each position.
Positions (direct):
Tl (0.0000, 0.0000, 0.0000)  8 Zn 2.95
Tl (0.0000, 0.5000, 0.5000)  8 Zn 2.95
Tl (0.5000, 0.0000, 0.5000)  8 Zn 2.95
Tl (0.5000, 0.5000, 0.0000)  8 Zn 2.95
Zn (0.2500, 0.2500, 0.2500)  4 Tl 2.95, 4 Au 2.95
Zn (0.2500, 0.2500, 0.7500)  4 Tl 2.95, 4 Au 2.95
Zn (0.2500, 0.7500, 0.2500)  4 Tl 2.95, 4 Au 2.95
Zn (0.2500, 0.7500, 0.7500)  4 Tl 2.95, 4 Au 2.95
Zn (0.7500, 0.2500, 0.2500)  4 Tl 2.95, 4 Au 2.95
Zn (0.7500, 0.2500, 0.7500)  4 Tl 2.95, 4 Au 2.95
Zn (0.7500, 0.7500, 0.2500)  4 Tl 2.95, 4 Au 2.95
Zn (0.7500, 0.7500, 0.7500)  4 Au 2.95, 4 Tl 2.95
Au (0.0000, 0.0000, 0.5000)  8 Zn 2.95
Au (0.0000, 0.5000, 0.0000)  8 Zn 2.95
Au (0.5000, 0.0000, 0.0000)  8 Zn 2.95
Au (0.5000, 0.5000, 0.5000)  8 Zn 2.95



Record 11
Compound: TlZn2Au
Source: the Alexandria database
Functional: PBE-GGA
Structure: optimized geometry

Results
space-group type = Pmmm, No. 47
D(E_F) = 1.0 states/eV per cell
spin magnetization = 0.00 μB per atom
formation energy = 14 meV/atom

Unit cell a=3.1857 b=3.4948 c=7.2472 alpha=90.00 beta=90.00 gamma=90.00
Closest atoms and distances in Å follow each position.
Positions (direct):
Tl (0.0000, 0.0000, 0.0000)  4 Tl 3.19-3.49, 8 Zn 3.23
Zn (0.5000, 0.5000, 0.3037)  4 Au 2.76, 1 Zn 2.85
Zn (0.5000, 0.5000, 0.6963)  4 Au 2.76, 1 Zn 2.85
Au (0.0000, 0.0000, 0.5000)  8 Zn 2.76



Record 12
Compound: TlZn2Au
Source: the Alexandria database
Functional: PBE-GGA
Structure: optimized geometry

Results
space-group type = Pm, No. 6
D(E_F) = 1.4 states/eV per cell
spin magnetization = 0.00 μB per atom
formation energy = 51 meV/atom

Unit cell a=3.6378 b=4.5297 c=5.1617 alpha=90.00 beta=104.74 gamma=90.00
Closest atoms and distances in Å follow each position.
Positions (direct):
Tl (0.0000, 0.0000, 0.0000)  2 Zn 2.68-2.96
Zn (0.3422, 0.0000, 0.5246)  2 Au 2.63, 1 Tl 2.68, 2 Zn 2.93
Zn (0.7415, 0.5000, 0.3585)  3 Au 2.74-2.92, 2 Zn 2.93
Au (0.4373, 0.5000, 0.7916)  5 Zn 2.63-2.92



Record 13
Compound: TlZnAu2
Source: the Alexandria database
Functional: PBE-GGA
Structure: optimized geometry

Results
space-group type = I-42d, No. 122
D(E_F) = 5.7 states/eV per cell
spin magnetization = 0.00 μB per atom
formation energy = 62 meV/atom

Unit cell a=4.6088 b=4.6088 c=17.6539 alpha=90.00 beta=90.00 gamma=90.00
Closest atoms and distances in Å follow each position.
Positions (direct):
Tl (0.0000, 0.0000, 0.0000)  4 Au 2.89
Tl (0.0000, 0.5000, 0.2500)  4 Au 2.89
Tl (0.5000, 0.0000, 0.7500)  4 Au 2.89
Tl (0.5000, 0.5000, 0.5000)  4 Au 2.89
Zn (0.0000, 0.0000, 0.5000)  4 Au 2.63
Zn (0.0000, 0.5000, 0.7500)  4 Au 2.63
Zn (0.5000, 0.0000, 0.2500)  4 Au 2.63
Zn (0.5000, 0.5000, 0.0000)  4 Au 2.63
Au (0.1836, 0.2500, 0.6250)  2 Zn 2.63, 2 Au 2.86, 2 Tl 2.89
Au (0.2500, 0.6836, 0.8750)  2 Zn 2.63, 2 Au 2.86, 2 Tl 2.89
Au (0.2500, 0.8164, 0.3750)  2 Zn 2.63, 2 Au 2.86, 2 Tl 2.89
Au (0.3164, 0.2500, 0.1250)  2 Zn 2.63, 2 Au 2.86, 2 Tl 2.89
Au (0.6836, 0.7500, 0.1250)  2 Zn 2.63, 2 Au 2.86, 2 Tl 2.89
Au (0.7500, 0.1836, 0.3750)  2 Zn 2.63, 2 Au 2.86, 2 Tl 2.89
Au (0.7500, 0.3164, 0.8750)  2 Zn 2.63, 2 Au 2.86, 2 Tl 2.89
Au (0.8164, 0.7500, 0.6250)  2 Zn 2.63, 2 Au 2.86, 2 Tl 2.89



Record 14
Compound: TlZn2Au
Source: the Alexandria database
Functional: PBE-GGA
Structure: optimized geometry

Results
space-group type = R3m, No. 160
D(E_F) = 5.0 states/eV per cell
spin magnetization = 0.00 μB per atom
formation energy = 96 meV/atom

Unit cell a=3.3502 b=3.3502 c=25.3089 alpha=90.00 beta=90.00 gamma=120.00
Closest atoms and distances in Å follow each position.
Positions (direct):
Tl (0.0000, 0.0000, 0.0000)  3 Au 3.05, 3 Zn 3.10, 6 Tl 3.35
Tl (0.3333, 0.6667, 0.6667)  3 Au 3.05, 3 Zn 3.10, 6 Tl 3.35
Tl (0.6667, 0.3333, 0.3333)  3 Au 3.05, 3 Zn 3.10, 6 Tl 3.35
Zn (0.0000, 0.0000, 0.2378)  3 Zn 2.68
Zn (0.0000, 0.0000, 0.4978)  3 Au 2.65, 3 Zn 2.68
Zn (0.3333, 0.6667, 0.1644)  3 Au 2.65, 3 Zn 2.68
Zn (0.3333, 0.6667, 0.9044)  3 Zn 2.68
Zn (0.6667, 0.3333, 0.5711)  3 Zn 2.68
Zn (0.6667, 0.3333, 0.8311)  3 Au 2.65, 3 Zn 2.68
Au (0.0000, 0.0000, 0.7598)  3 Zn 2.65
Au (0.3333, 0.6667, 0.4264)  3 Zn 2.65
Au (0.6667, 0.3333, 0.0931)  3 Zn 2.65